## MgPb2Br (meta-GGA SCAN)

Data for MgPb2Br at its PBEsol-relaxed geometry.

Cell and atoms, written as POSCAR:
```
MgPb2Br
1.0
3.4965 0.0000 0.0000
0.0000 3.4965 0.0000
0.0000 0.0000 8.8080
Mg Pb Br
1 2 1
Direct
0.0000 0.0000 0.0000
0.5000 0.5000 0.2406
0.5000 0.5000 0.7594
0.0000 0.0000 0.5000
```

Output
Energy above the lowest structure with this stoichiometry ... 17.1 kJ per mole of atoms
Formation energy without anion corrections ... -0.22 eV per atom



## K2RuRh (meta-GGA SCAN)

Data for K2RuRh at its PBEsol-relaxed geometry.

Cell and atoms, written as POSCAR:
```
K2RuRh
1.0
0.0000 3.5640 3.5640
3.5640 0.0000 3.5640
3.5640 3.5640 0.0000
K Ru Rh
2 1 1
Direct
0.2500 0.2500 0.2500
0.7500 0.7500 0.7500
0.0000 0.0000 0.0000
0.5000 0.5000 0.5000
```

Output
Energy above the lowest structure with this stoichiometry ... 106.4 kJ per mole of atoms
ΔH_f (0 K) ... 644.5 kJ/mol of formula units



## Zr2AgSb (meta-GGA SCAN)

Data for Zr2AgSb at its PBEsol-relaxed geometry.

Cell and atoms, written as POSCAR:
```
Zr2AgSb
1.0
3.1531 0.0000 0.0000
0.0000 4.9935 0.0000
-0.4392 0.0000 5.1729
Zr Ag Sb
2 1 1
Direct
0.0000 0.0000 0.0000
0.1234 0.5000 0.6257
0.5902 0.5000 0.1217
0.5579 0.0000 0.4918
```

Output
Formation energy without anion corrections ... -0.31 eV per atom



## K2HgMo (meta-GGA SCAN)

Data for K2HgMo at its PBEsol-relaxed geometry.

Cell and atoms, written as POSCAR:
```
K2HgMo
1.0
3.6167 0.0000 0.0000
0.0000 5.2998 0.0000
0.0000 0.0000 6.1212
K Hg Mo
2 1 1
Direct
0.0000 0.0000 0.2474
0.0000 0.0000 0.7526
0.5000 0.5000 0.0000
0.5000 0.5000 0.5000
```

Output
ΔH_f (0 K) ... 351.8 kJ/mol of formula units



## PmDy3 (meta-GGA SCAN)

Data for PmDy3 at its PBEsol-relaxed geometry.

Cell and atoms, written as POSCAR:
```
PmDy3
1.0
-2.4696 2.4696 4.9332
2.4696 -2.4696 4.9332
2.4696 2.4696 -4.9332
Pm Dy
1 3
Direct
0.0000 0.0000 0.0000
0.2500 0.7500 0.5000
0.5000 0.5000 0.0000
0.7500 0.2500 0.5000
```

Output
Energy above the lowest structure with this stoichiometry ... 0.2 kJ per mole of atoms
ΔH_f (0 K) ... 7.2 kJ/mol of formula units



## MnSi2Pb (meta-GGA SCAN)

Data for MnSi2Pb at its PBEsol-relaxed geometry.

Cell and atoms, written as POSCAR:
```
MnSi2Pb
1.0
-2.2184 2.2184 8.0233
2.2184 -2.2184 8.0233
2.2184 2.2184 -8.0233
Mn Si Pb
2 4 2
Direct
0.0000 0.0000 0.0000
0.7500 0.2500 0.5000
0.3750 0.2418 0.3668
0.7582 0.1250 0.1332
0.8750 0.0082 0.6332
0.9918 0.6250 0.8668
0.2500 0.7500 0.5000
0.5000 0.5000 0.0000
```

Output
Formation energy without anion corrections ... 0.33 eV per atom



Number 1: density 7998 kg/m3. Number 2: density 5175 kg/m3. Number 3: density 8401 kg/m3. Number 4: density 5303 kg/m3. Number 5: density 8727 kg/m3. Number 6: density 6693 kg/m3.